MnInCoO4 PBE with a Hubbard U relaxed; raw total energy = -6.26 eV per atom; total magnetic moment = 10.000 μB/cell
1.0
-3.028 3.125 4.371
3.028 -3.125 4.371
3.028 3.125 -4.371
Mn In Co O
2 2 2 8
direct
0.500 0.000 0.000
0.500 0.500 0.500
0.000 0.000 0.000
0.500 0.000 0.500
0.126 0.376 0.750
0.874 0.624 0.250
0.270 0.265 0.495
0.270 0.775 0.005
0.279 0.749 0.530
0.280 0.251 0.030
0.720 0.749 0.970
0.721 0.251 0.470
0.730 0.225 0.995
0.730 0.735 0.505